The following is a DFT calculation (meta-GGA SCAN) of Ta3BeTe at its PBEsol-relaxed geometry.

```
Ta3BeTe
1.0
4.9251 0.0000 0.0000
0.0000 4.9251 0.0000
0.0000 0.0000 4.9251
Be Te Ta
1 1 3
direct
0.5000 0.5000 0.5000
0.0000 0.0000 0.0000
0.0000 0.5000 0.0000
0.0000 0.0000 0.5000
0.5000 0.0000 0.0000
```

Results
DFT total energy ... -46.023 eV/atom
Density ... 9.4 g/cm³
Energy relative to the elements, uncorrected ... 2.2479 eV per atom
Space group ... Pm-3m, No. 221